Compound: Ca2Co2O5
Source: Alexandria
Functional: PBE+U
Structure: optimized geometry

Calculated values
Excess energy over the best structure of this formula in the dataset   78 meV per atom
Space group   Pbam

abc: 3.7157 5.4136 10.3388
angles: 90.00 90.00 90.00
Sites, in units of the cell vectors:
Co 0.0000 0.7776 0.6230
Co 0.0000 0.2224 0.3770
Co 0.0000 0.2776 0.8770
Co 0.0000 0.7224 0.1230
Ca 0.5000 0.8100 0.8691
Ca 0.5000 0.3100 0.6309
Ca 0.5000 0.6900 0.3691
Ca 0.5000 0.1900 0.1309
O 0.0000 0.0000 0.0000
O 0.0000 0.9271 0.2861
O 0.0000 0.4271 0.2139
O 0.0000 0.0729 0.7139
O 0.5000 0.7949 0.5996
O 0.5000 0.2949 0.9004
O 0.0000 0.5729 0.7861
O 0.5000 0.2051 0.4004
O 0.5000 0.7051 0.0996
O 0.0000 0.5000 0.5000